# 1
Density functional theory data (GGA-PBE) for a relaxed structure of KCrW2.

Lattice parameters (Å, degrees): 4.2899 2.7679 7.5782 86.91 90.00 90.00
Closest atoms and distances in Å follow each position.
Sites, in units of the cell vectors:
1 Cr 0.0000 0.6050 0.3887  1 W 2.25
2 K 0.5000 0.7265 0.7423  2 K 2.77
3 W 0.0000 0.9044 0.1068  1 Cr 2.25
4 W 0.5000 0.2641 0.2622  2 Cr 2.55, 4 W 2.67-2.77

## Properties
DFT total energy (eV/atom): -8.186
DFT formation energy (eV per formula unit): 3.9
Symmetry: Pm


# 2
Density functional theory data (GGA-PBE) for a relaxed structure of KCr2W.

Lattice parameters (Å, degrees): 2.9019 2.9019 9.0657 90.00 90.00 90.00
Closest atoms and distances in Å follow each position.
Sites, in units of the cell vectors:
1 Cr 0.0000 0.0000 0.0205  4 Cr 2.42, 4 W 2.66
2 Cr 0.5000 0.5000 0.1612  4 Cr 2.42
3 K 0.0000 0.0000 0.4849  4 K 2.90
4 W 0.5000 0.5000 0.8334  5 Cr 2.66-2.97, 4 W 2.90

## Properties
DFT total energy (eV/atom): -7.397
DFT formation energy (eV per formula unit): 3.7
Symmetry: P4mm


# 3
Density functional theory data (GGA-PBE) for a relaxed structure of KCr2W2.

Lattice parameters (Å, degrees): 4.0779 4.0779 6.9096 72.84 72.84 90.00
Closest atoms and distances in Å follow each position.
Sites, in units of the cell vectors:
1 Cr 0.3627 0.3627 0.2746  4 W 2.48
2 Cr 0.6373 0.6373 0.7254  4 W 2.48
3 K 0.0000 0.0000 0.0000  8 Cr 3.36, 8 W 3.74
4 W 0.7500 0.2500 0.5000  4 Cr 2.48
5 W 0.2500 0.7500 0.5000  4 Cr 2.48

## Properties
DFT total energy (eV/atom): -8.174
DFT formation energy (eV per formula unit): 5.4
Symmetry: I4/mmm


# 4
Density functional theory data (GGA-PBE) for a relaxed structure of KCr2W.

Lattice parameters (Å, degrees): 4.7075 4.7075 4.7075 60.00 60.00 60.00
Closest atoms and distances in Å follow each position.
Sites, in units of the cell vectors:
1 Cr 0.2500 0.2500 0.2500  4 W 2.88, 4 K 2.88
2 Cr 0.7500 0.7500 0.7500  4 W 2.88, 4 K 2.88
3 K 0.0000 0.0000 0.0000  8 Cr 2.88
4 W 0.5000 0.5000 0.5000  8 Cr 2.88

## Properties
DFT total energy (eV/atom): -6.767
DFT formation energy (eV per formula unit): 6.2
Symmetry: Fm-3m


# 5
Density functional theory data (GGA-PBE) for a relaxed structure of KCrW2.

Lattice parameters (Å, degrees): 6.2372 6.2372 5.2520 65.10 65.10 24.56
Closest atoms and distances in Å follow each position.
Sites, in units of the cell vectors:
1 Cr 0.7500 0.7500 0.7500  2 Cr 2.65, 4 W 2.67, 4 K 2.94
2 K 0.2500 0.2500 0.2500  2 K 2.65, 4 Cr 2.94
3 W 0.0399 0.0399 0.9602  2 W 2.65, 2 Cr 2.67
4 W 0.4601 0.4601 0.5398  2 W 2.65, 2 Cr 2.67

## Properties
DFT total energy (eV/atom): -7.850
DFT formation energy (eV per formula unit): 5.2
Symmetry: Immm


# 6
Density functional theory data (GGA-PBE) for a relaxed structure of K2CrW.

Lattice parameters (Å, degrees): 7.0728 7.0728 7.0728 154.43 125.93 60.74
Closest atoms and distances in Å follow each position.
Sites, in units of the cell vectors:
1 Cr 0.3063 0.8063 0.5000  2 W 2.26
2 K 0.0254 0.0254 0.0000  2 K 3.13
3 K 0.7284 0.2284 0.5000  2 K 3.13
4 W 0.4399 0.4399 0.0000  2 Cr 2.26

## Properties
DFT total energy (eV/atom): -4.907
DFT formation energy (eV per formula unit): 5.1
Symmetry: Imm2


# 7
Density functional theory data (GGA-PBE) for a relaxed structure of KCrW.

Lattice parameters (Å, degrees): 5.3535 5.3535 5.3535 60.00 60.00 60.00
Closest atoms and distances in Å follow each position.
Sites, in units of the cell vectors:
1 Cr 0.5000 0.5000 0.5000  4 K 3.28
2 K 0.7500 0.7500 0.7500  4 Cr 3.28, 4 W 3.28
3 W 0.0000 0.0000 0.0000  4 K 3.28

## Properties
DFT total energy (eV/atom): -4.711
DFT formation energy (eV per formula unit): 9.5
Symmetry: F-43m


# 8
Density functional theory data (GGA-PBE) for a relaxed structure of KCrW3.

Lattice parameters (Å, degrees): 4.6729 4.6729 4.6729 90.00 90.00 90.00
Closest atoms and distances in Å follow each position.
Sites, in units of the cell vectors:
1 Cr 0.0000 0.0000 0.0000  6 W 2.34
2 K 0.5000 0.5000 0.5000  12 W 3.30
3 W 0.0000 0.5000 0.0000  2 Cr 2.34
4 W 0.0000 0.0000 0.5000  2 Cr 2.34
5 W 0.5000 0.0000 0.0000  2 Cr 2.34

## Properties
DFT total energy (eV/atom): -8.016
DFT formation energy (eV per formula unit): 9.5
Symmetry: Pm-3m


# 9
Density functional theory data (GGA-PBE) for a relaxed structure of K2CrW.

Lattice parameters (Å, degrees): 6.6516 6.6516 6.6516 145.35 145.35 49.81
Closest atoms and distances in Å follow each position.
Sites, in units of the cell vectors:
1 Cr 0.7500 0.2500 0.5000  4 W 2.80
2 K 0.0000 0.0000 0.0000  4 K 2.80
3 K 0.5000 0.5000 0.0000  4 K 2.80
4 W 0.2500 0.7500 0.5000  4 Cr 2.80

## Properties
DFT total energy (eV/atom): -4.523
DFT formation energy (eV per formula unit): 6.7
Symmetry: I4/mmm


# 10
Density functional theory data (GGA-PBE) for a relaxed structure of KCr2W.

Lattice parameters (Å, degrees): 2.7316 2.7316 10.0756 90.00 90.00 111.53
Closest atoms and distances in Å follow each position.
Sites, in units of the cell vectors:
1 Cr 0.0000 0.0000 0.9490  2 W 2.53, 4 Cr 2.73
2 Cr 0.0000 0.0000 0.5510  2 W 2.53, 4 Cr 2.73
3 K 0.5000 0.5000 0.2500  4 K 2.73
4 W 0.5000 0.5000 0.7500  4 Cr 2.53, 4 W 2.73

## Properties
DFT total energy (eV/atom): -7.346
DFT formation energy (eV per formula unit): 3.9
Symmetry: Cmmm


# 11
Density functional theory data (GGA-PBE) for a relaxed structure of KCr3W.

Lattice parameters (Å, degrees): 4.9143 4.9143 4.9143 90.00 90.00 90.00
Closest atoms and distances in Å follow each position.
Sites, in units of the cell vectors:
1 Cr 0.0000 0.5000 0.0000  2 W 2.46
2 Cr 0.0000 0.0000 0.5000  2 W 2.46
3 Cr 0.5000 0.0000 0.0000  2 W 2.46
4 K 0.5000 0.5000 0.5000  12 Cr 3.47
5 W 0.0000 0.0000 0.0000  6 Cr 2.46

## Properties
DFT total energy (eV/atom): -7.159
DFT formation energy (eV per formula unit): 7.1
Symmetry: Pm-3m


# 12
Density functional theory data (GGA-PBE) for a relaxed structure of KCr2W.

Lattice parameters (Å, degrees): 3.7137 2.8138 8.0680 78.94 90.00 90.00
Closest atoms and distances in Å follow each position.
Sites, in units of the cell vectors:
1 Cr 0.0000 0.0548 0.0168  2 Cr 2.33, 2 W 2.52
2 Cr 0.5000 0.3608 0.1350  1 W 2.25, 2 Cr 2.33
3 K 0.0000 0.3590 0.4874  2 K 2.81
4 W 0.5000 0.7254 0.8609  3 Cr 2.25-2.52

## Properties
DFT total energy (eV/atom): -7.360
DFT formation energy (eV per formula unit): 3.9
Symmetry: Pm


What did the seventh record say?
Density functional theory data (GGA-PBE) for a relaxed structure of KCrW.

Lattice parameters (Å, degrees): 5.3535 5.3535 5.3535 60.00 60.00 60.00
Closest atoms and distances in Å follow each position.
Sites, in units of the cell vectors:
1 Cr 0.5000 0.5000 0.5000  4 K 3.28
2 K 0.7500 0.7500 0.7500  4 Cr 3.28, 4 W 3.28
3 W 0.0000 0.0000 0.0000  4 K 3.28

## Properties
DFT total energy (eV/atom): -4.711
DFT formation energy (eV per formula unit): 9.5
Symmetry: F-43m


Q: Number 12 is which compound?
A: KCr2W


Q: DFT total energy of number 5 (KCrW2)?
A: -7.850 eV/atom